# 1
{
  "formula": "Dy2Y2TmLu2Ni2Te2",
  "functional": "PBE",
  "state": "relaxed",
  "sg": "Imm2, No. 44",
  "mass_density_g_cm3": 8.24,
  "e_above_lowest_polymorph_mev_per_atom": 17,
  "lattice": [[-1.9063, 7.7331, 4.7651], [1.9063, -7.7331, 4.7651], [1.9063, 7.7331, -4.7651]],
  "species": ["Dy", "Dy", "Y", "Y", "Tm", "Lu", "Lu", "Ni", "Ni", "Te", "Te"],
  "fractional_positions": [[0.1856, 0.0000, 0.1856], [0.8144, 0.0000, 0.8144], [0.1686, 0.7998, 0.3688], [0.4309, 0.7998, 0.6312], [0.8794, 0.3794, 0.5000], [0.5068, 0.6534, 0.8534], [0.8000, 0.6534, 0.1466], [0.0420, 0.3067, 0.7353], [0.5715, 0.3067, 0.2647], [0.1435, 0.1435, 0.0000], [0.5477, 0.0477, 0.5000]]
}

***

# 2
{
  "formula": "Dy2Y2TmLu2Ni2Te2",
  "functional": "PBE",
  "state": "relaxed",
  "sg": "Imm2, No. 44",
  "mass_density_g_cm3": 8.19,
  "e_above_lowest_polymorph_mev_per_atom": 1,
  "lattice": [[-1.9158, 7.7573, 4.7568], [1.9158, -7.7573, 4.7568], [1.9158, 7.7573, -4.7568]],
  "species": ["Dy", "Dy", "Y", "Y", "Tm", "Lu", "Lu", "Ni", "Ni", "Te", "Te"],
  "fractional_positions": [[0.1470, 0.0000, 0.1470], [0.8530, 0.0000, 0.8530], [0.5167, 0.1483, 0.3683], [0.7800, 0.1483, 0.6317], [0.2308, 0.7308, 0.5000], [0.1650, 0.3496, 0.8154], [0.5343, 0.3496, 0.1846], [0.3971, 0.6595, 0.7376], [0.9218, 0.6595, 0.2624], [0.4935, 0.4935, 0.0000], [0.8953, 0.3953, 0.5000]]
}